(1)
Compound: MgHPd3
Source: Alexandria via LeMat-Bulk
Functional: PBE
Structure: optimized geometry

Unit cell a=4.992 b=4.992 c=7.924 alpha=113.89 beta=113.89 gamma=47.51
Fractional positions:
1 Mg 0.116 0.116 0.423
2 Mg 0.884 0.884 0.577
3 H 0.387 0.387 0.082
4 H 0.613 0.613 0.918
5 Pd 0.128 0.128 0.939
6 Pd 0.371 0.371 0.323
7 Pd 0.376 0.376 0.801
8 Pd 0.624 0.624 0.199
9 Pd 0.629 0.629 0.677
10 Pd 0.872 0.872 0.061

Results
Volume (Å³ per atom): 13.06
Energy above the most stable polymorph in this dataset (meV per atom): 108
SG: C2/m, No. 12

=====

(2)
Compound: KNpPO6
Source: Alexandria via LeMat-Bulk
Functional: PBE
Structure: optimized geometry

Unit cell a=5.170 b=5.170 c=5.959 alpha=90.00 beta=90.00 gamma=120.00
Fractional positions:
1 K 0.000 0.000 0.000
2 Np 0.333 0.667 0.500
3 P 0.667 0.333 0.500
4 O 0.400 0.052 0.667
5 O 0.400 0.348 0.333
6 O 0.652 0.052 0.333
7 O 0.652 0.600 0.667
8 O 0.948 0.348 0.667
9 O 0.948 0.600 0.333

Results
Volume (Å³ per atom): 15.33
Formation energy from raw total energies (eV/atom): -2.19
SG: P312, No. 149

=====

| no. | DFT total energy (eV for the cell shown) |
| --- | --- |
| 1 | -44.6 |
| 2 | -68.9 |